PBE IrPt2PbBr, optimized geometry; ΔE_f (raw) = 1.084 eV/atom; DOS(E_F) = 3.002 states/eV/cell; E_tot = -4.180 eV per atom
1.0
-0.6768 -1.2742 -4.6376
2.6093 -3.8455 0.6758
-3.9810 -2.4794 1.2622
Pb Ir Br Pt
1 1 1 2
Direct
0.5000 0.5000 0.5000 Pb
0.0000 0.5000 0.0000 Ir
0.0000 0.0000 0.0000 Br
0.0000 0.0000 0.5000 Pt
0.5000 0.0000 0.0000 Pt